Compound: SbTeOs
Source: Alexandria via LeMat-Bulk
Functional: PBE
Structure: optimized geometry

abc: 7.0544 7.0544 7.0544
angles: 153.83 153.83 37.34
Fractional coordinates of all 3 atoms:
Os 0.0014 0.0014 0.0000
Sb 0.3698 0.3698 0.0000
Te 0.6288 0.6288 0.0000

Its energy above the most stable polymorph in this dataset is 1.38 eV/f.u. The total energy comes out at -17.37 eV/f.u. The symmetry is No. 107. As for the crystal system: tetragonal. The formation energy without anion corrections is 1.12 eV/f.u. For the total magnetic moment, the calculation gives 0.00 μB/f.u.